5
Lattice="5.041 0.000 0.000 0.000 4.814 0.000 0.000 0.000 4.814" Properties=species:S:1:pos:R:3 comment="PrY2TlO | Alexandria | PBE | relaxed" mass_density_g_cm3=7.66 e_tot_ev_per_atom=-6.35 formation_energy_uncorrected_ev_per_atom=-1.341 sg=P4/mmm n_ef_per_ev_fu=2.0 pbc="T T T"
Pr 2.521 0.000 0.000
Y 0.000 0.000 2.407
Y 0.000 2.407 0.000
Tl 2.521 2.407 2.407
O 0.000 0.000 0.000

10
Lattice="6.003 0.000 0.000 3.001 5.198 0.000 3.001 1.733 5.147" Properties=species:S:1:pos:R:3 comment="Pr2YTlO6 | Alexandria | PBE | relaxed" mass_density_g_cm3=6.94 e_tot_ev_per_atom=-7.48 formation_energy_uncorrected_ev_per_atom=-2.666 sg=R3 n_ef_per_ev_fu=0.0 pbc="T T T"
Pr 6.003 3.466 2.119
Pr 3.001 1.733 4.658
Y 9.004 5.199 2.945
Tl 3.001 1.733 0.385
O 5.041 1.429 1.348
O 4.719 5.317 1.348
O 8.248 3.651 1.348
O 6.998 4.921 3.887
O 6.765 1.876 3.887
O 4.244 3.601 3.887

5
Lattice="-1.714 -3.370 -2.924 -2.991 -1.700 3.713 -3.658 3.161 -1.499" Properties=species:S:1:pos:R:3 comment="Pr2YTlO | Alexandria | PBE | relaxed" mass_density_g_cm3=8.02 e_tot_ev_per_atom=-6.00 formation_energy_uncorrected_ev_per_atom=-1.334 sg=P4/mmm n_ef_per_ev_fu=2.3 pbc="T T T"
Pr -1.829 1.580 -0.749
Pr -1.495 -0.850 1.856
Y -0.857 -1.685 -1.462
Tl -4.181 -0.955 -0.355
O 0.000 0.000 0.000

20
Lattice="-4.569 -3.198 -7.028 8.523 1.464 -2.389 -0.246 -5.969 6.694" Properties=species:S:1:pos:R:3 comment="Pr12Tl4ZnO3 | Alexandria | PBE | relaxed" mass_density_g_cm3=7.83 e_tot_ev_per_atom=-5.09 formation_energy_uncorrected_ev_per_atom=-0.941 sg=Im-3m n_ef_per_ev_fu=12.7 pbc="T T T"
Pr 2.935 -4.544 2.069
Pr -3.534 -6.729 -0.245
Pr -1.281 -2.438 -0.089
Pr 0.773 -3.158 -4.792
Pr 2.903 -1.272 -6.913
Pr 1.052 -0.461 -2.505
Pr -1.419 -5.017 -2.522
Pr 5.127 -2.686 -0.202
Pr -0.338 -5.710 0.909
Pr 6.075 -3.307 3.160
Pr 4.046 -1.993 -3.632
Pr 2.201 -1.198 1.145
Tl 1.854 -3.851 -1.362
Tl -0.123 -2.984 3.347
Tl -2.284 -1.599 -3.514
Tl 4.262 0.732 -1.195
Zn 0.000 0.000 0.000
O -2.408 -4.583 -0.167
O 1.977 -0.867 -4.709
O 4.138 -2.252 2.152

20
Lattice="6.984 -0.044 -0.045 -0.195 6.981 -0.045 -0.195 -0.200 6.979" Properties=species:S:1:pos:R:3 comment="Pr3TmO6 | Alexandria | PBE | relaxed" mass_density_g_cm3=6.72 e_tot_ev_per_atom=-8.27 formation_energy_uncorrected_ev_per_atom=-3.412 sg=R-3 n_ef_per_ev_fu=0.0 pbc="T T T"
Pr 2.760 6.363 5.155
Pr 6.302 5.090 3.011
Pr 1.642 3.870 0.413
Pr 4.952 2.868 6.476
Pr 0.291 1.648 3.878
Pr 3.833 0.375 1.734
Tm 0.000 0.000 0.000
Tm 3.297 3.369 3.445
O 1.942 6.345 0.403
O 0.292 6.381 4.801
O 3.903 5.506 3.183
O 6.373 4.790 0.537
O 2.974 3.968 5.575
O 1.173 3.645 2.798
O 5.420 3.093 4.091
O 3.619 2.770 1.314
O 0.220 1.948 6.352
O 2.691 1.232 3.707
O 6.301 0.357 2.088
O 4.651 0.393 6.486

6
Lattice="-4.712 -1.081 0.746 3.922 -4.579 2.105 -0.361 3.741 3.131" Properties=species:S:1:pos:R:3 comment="PrTmO | Alexandria | PBE | relaxed" mass_density_g_cm3=8.42 polymorph_energy_mev_per_atom=0 e_tot_ev_per_atom=-6.51 formation_energy_uncorrected_ev_per_atom=-1.778 sg=I-4m2 n_ef_per_ev_fu=1.9 pbc="T T T"
Tm -1.804 -2.196 1.461
Tm 0.288 0.411 2.409
O -1.153 -3.722 3.360
O -2.028 -0.230 2.903
Pr -1.367 -1.774 4.828
Pr 1.236 -3.261 3.084

5
Lattice="-4.125 -1.703 -2.067 -0.471 -3.275 3.638 -2.637 3.250 2.583" Properties=species:S:1:pos:R:3 comment="PrTm3O | Alexandria | PBE | relaxed" mass_density_g_cm3=9.27 e_tot_ev_per_atom=-5.69 formation_energy_uncorrected_ev_per_atom=-1.055 sg=Pm-3m n_ef_per_ev_fu=7.8 pbc="T T T"
Pr -3.616 -0.864 2.077
Tm -0.236 -1.637 1.819
Tm -1.318 1.625 1.292
Tm -2.062 -0.852 -1.034
O 0.000 0.000 0.000

3
Lattice="3.552 0.000 0.000 -1.776 3.077 0.000 0.000 0.000 6.060" Properties=species:S:1:pos:R:3 comment="PrTmO | Alexandria | PBE | relaxed" mass_density_g_cm3=8.17 polymorph_energy_mev_per_atom=27 e_tot_ev_per_atom=-6.49 formation_energy_uncorrected_ev_per_atom=-1.752 sg=P3m1 n_ef_per_ev_fu=1.5 pbc="T T T"
Pr 0.000 0.000 0.490
Tm 0.000 2.051 3.306
O 1.776 1.026 2.264

4
Lattice="-2.400 1.054 -1.965 0.645 -2.436 -2.094 -5.947 -5.350 4.392" Properties=species:S:1:pos:R:3 comment="Pr2TmO | Alexandria | PBE | relaxed" mass_density_g_cm3=7.91 polymorph_energy_mev_per_atom=292 e_tot_ev_per_atom=-5.55 formation_energy_uncorrected_ev_per_atom=-0.802 sg=P4/mmm n_ef_per_ev_fu=5.1 pbc="T T T"
Pr -4.923 -4.428 3.636
Pr -1.024 -0.922 0.757
Tm -3.851 -3.366 0.166
O -0.878 -0.691 -2.030

4
Lattice="-0.830 -3.043 1.848 0.784 -3.275 -1.424 8.341 -1.892 4.247" Properties=species:S:1:pos:R:3 comment="Pr2TmO | Alexandria | PBE | relaxed" mass_density_g_cm3=7.19 polymorph_energy_mev_per_atom=0 e_tot_ev_per_atom=-5.84 formation_energy_uncorrected_ev_per_atom=-1.094 sg=R-3m n_ef_per_ev_fu=3.7 pbc="T T T"
Pr 5.393 -1.967 2.798
Pr 2.902 -6.242 1.873
Tm 0.000 0.000 0.000
O 4.147 -4.105 2.336

6
Lattice="-3.124 0.617 2.273 -0.439 -0.590 -3.809 0.015 -6.149 1.690" Properties=species:S:1:pos:R:3 comment="PrTmO4 | Alexandria | PBE | relaxed" mass_density_g_cm3=7.49 e_tot_ev_per_atom=-7.74 formation_energy_uncorrected_ev_per_atom=-2.889 sg=Cm n_ef_per_ev_fu=0.0 pbc="T T T"
Pr -1.781 -3.208 -1.576
Tm -0.238 -0.159 -0.284
O -2.200 -4.902 1.674
O -1.594 -0.788 -1.976
O -0.392 -2.365 0.104
O -2.883 -4.176 0.539

4
Lattice="-2.863 -0.698 1.739 -2.729 -1.261 -1.633 0.154 -6.358 1.068" Properties=species:S:1:pos:R:3 comment="PrTmO2 | Alexandria | PBE | relaxed" mass_density_g_cm3=9.12 polymorph_energy_mev_per_atom=110 e_tot_ev_per_atom=-7.52 formation_energy_uncorrected_ev_per_atom=-2.727 sg=R3m n_ef_per_ev_fu=0.7 pbc="T T T"
Pr -2.687 -4.249 0.603
Tm -3.600 -7.589 1.125
O -0.238 -5.249 0.867
O -1.477 -1.746 0.233

4
Lattice="-0.048 -0.638 -3.501 -1.038 -3.180 -1.215 -6.756 0.936 -1.888" Properties=species:S:1:pos:R:3 comment="PrTmO2 | Alexandria | PBE | relaxed" mass_density_g_cm3=7.64 polymorph_energy_mev_per_atom=0 e_tot_ev_per_atom=-7.63 formation_energy_uncorrected_ev_per_atom=-2.837 sg=R-3m n_ef_per_ev_fu=0.5 pbc="T T T"
Pr 0.000 0.000 0.000
Tm -3.921 -1.441 -3.302
O -4.535 0.169 -1.778
O -3.306 -3.051 -4.826

4
Lattice="3.434 0.000 0.000 1.717 2.974 0.000 1.717 0.991 9.382" Properties=species:S:1:pos:R:3 comment="PrTm2O | Alexandria | PBE | relaxed" mass_density_g_cm3=8.57 polymorph_energy_mev_per_atom=0 e_tot_ev_per_atom=-5.89 formation_energy_uncorrected_ev_per_atom=-1.223 sg=R-3m n_ef_per_ev_fu=3.6 pbc="T T T"
Pr 0.000 0.000 0.000
Tm 1.717 0.991 5.990
Tm 5.152 2.974 3.392
O 3.434 1.983 4.691

4
Lattice="3.190 0.000 0.000 0.000 3.190 0.000 0.000 0.000 8.714" Properties=species:S:1:pos:R:3 comment="PrTm2O | Alexandria | PBE | relaxed" mass_density_g_cm3=9.26 polymorph_energy_mev_per_atom=446 e_tot_ev_per_atom=-5.45 formation_energy_uncorrected_ev_per_atom=-0.777 sg=P4/mmm n_ef_per_ev_fu=4.0 pbc="T T T"
Pr 1.595 1.595 4.357
Tm 0.000 0.000 7.181
Tm 0.000 0.000 1.533
O 1.595 1.595 0.000

12
Lattice="3.889 -0.021 -0.002 0.027 5.289 -0.006 0.005 0.008 7.639" Properties=species:S:1:pos:R:3 comment="PrTm2UO8 | Alexandria | PBE | relaxed" mass_density_g_cm3=8.93 e_tot_ev_per_atom=-8.65 formation_energy_uncorrected_ev_per_atom=-3.261 sg=Pmmm n_ef_per_ev_fu=2.4 pbc="T T T"
Pr 0.002 0.004 3.819
Tm 1.961 2.640 5.825
Tm 1.959 2.636 1.806
U 0.000 0.000 0.000
O 0.022 3.986 1.697
O 1.966 4.033 -0.006
O 3.896 1.286 1.697
O 3.898 1.290 5.934
O 1.954 1.243 7.636
O 0.024 3.990 5.933
O 1.966 3.813 3.814
O 1.954 1.463 3.817